Material: La6SnS5
Method: DFT, PBE
State: optimized geometry

Summary:
Final energy, Ry per atom: -0.4718
Fermi-level density of states, states/eV/f.u.: 5.8
Magnetic moment, μB/f.u.: 0.000
Energy relative to the elements, uncorrected, eV/atom: -1.90

a = 7.367 Å, b = 7.360 Å, c = 7.359 Å
α = 60.00°, β = 80.39°, γ = 70.49°
Atoms (fractional coordinates):
Sn: 0.000 0.000 0.000
S: 0.000 0.668 0.665
S: 0.500 0.839 0.323
La: 0.741 0.433 0.653
S: 0.500 0.500 0.000
La: 0.742 0.739 0.000
S: 0.000 0.332 0.335
La: 0.741 0.086 0.347
La: 0.259 0.914 0.653
S: 0.500 0.161 0.677
La: 0.259 0.567 0.347
La: 0.258 0.261 0.000